# ZnHg4 | the Alexandria database | PBE-GGA | relaxed
data_ZnHg4
_cell_length_a 4.182
_cell_length_b 4.182
_cell_length_c 16.421
_cell_angle_alpha 90.00
_cell_angle_beta 90.00
_cell_angle_gamma 90.00
_symmetry_space_group_name_H-M 'I 4/m m m'
_symmetry_Int_Tables_number 139
_symmetry_space_group_name_Hall '-I 4 2'
loop_
_atom_site_label
_atom_site_type_symbol
_atom_site_fract_x
_atom_site_fract_y
_atom_site_fract_z
Zn1 Zn 0.000 0.000 0.000
Hg1 Hg 0.000 0.000 0.409
Hg2 Hg 0.000 0.500 0.250
# Volume in Å³ per cell: 287.23
# ΔH_f (0 K) in eV per atom: 0.1540